Record 1
KAg3Cl: relaxed, GGA-PBE.

Computed properties:
Calculated volume   38.637 A^3/atom
ΔE_f (raw)   0.937 eV/atom

Cell lengths 5.781, 5.781, 5.781 Å; angles 90.00, 90.00, 90.00 degrees
Space group Pm-3m (No. 221)
Asymmetric unit:
K1 0.000 0.000 0.000 [1 per cell]
Ag1 0.000 0.000 0.500 [3 per cell]
Cl1 0.500 0.500 0.500 [1 per cell]

***

Record 2
KLaAgCl6: relaxed, GGA-PBE.

Computed properties:
Calculated volume   32.534 A^3/atom
ΔE_f (raw)   -1.546 eV/atom

Cell lengths 6.807, 6.807, 12.638 Å; angles 90.00, 90.00, 90.00 degrees
Space group P4_2nm (No. 102)
Asymmetric unit:
K1 0.000 0.000 0.000 [2 per cell]
La1 0.000 0.000 0.668 [2 per cell]
Ag1 0.000 0.000 0.330 [2 per cell]
Cl1 0.172 0.172 0.480 [4 per cell]
Cl2 0.199 0.199 0.190 [4 per cell]
Cl3 0.203 0.203 0.812 [4 per cell]

***

Record 3
KLaAg2Cl6: relaxed, GGA-PBE.

Computed properties:
Calculated volume   31.101 A^3/atom
ΔE_f (raw)   -1.514 eV/atom

Cell lengths 7.374, 7.378, 7.803 Å; angles 62.06, 62.57, 60.30 degrees
Space group P1 (No. 1)
Asymmetric unit:
K1 0.000 0.000 0.000 [1 per cell]
La1 0.493 0.496 0.515 [1 per cell]
Ag1 0.245 0.257 0.250 [1 per cell]
Ag2 0.709 0.695 0.896 [1 per cell]
Cl1 0.099 0.433 0.720 [1 per cell]
Cl2 0.301 0.895 0.239 [1 per cell]
Cl3 0.441 0.737 0.730 [1 per cell]
Cl4 0.566 0.317 0.225 [1 per cell]
Cl5 0.735 0.094 0.729 [1 per cell]
Cl6 0.885 0.572 0.219 [1 per cell]

***

Record 4
KLaAg2Cl8: relaxed, GGA-PBE.

Computed properties:
Calculated volume   28.477 A^3/atom
ΔE_f (raw)   -1.217 eV/atom

Cell lengths 6.952, 6.952, 14.140 Å; angles 90.00, 90.00, 90.00 degrees
Space group I-4 (No. 82)
Asymmetric unit:
K1 0.000 0.000 0.000 [2 per cell]
La1 0.000 0.500 0.750 [2 per cell]
Ag1 0.000 0.000 0.500 [2 per cell]
Ag2 0.000 0.500 0.250 [2 per cell]
Cl1 0.140 0.292 0.581 [8 per cell]
Cl2 0.169 0.786 0.188 [8 per cell]

***

Record 5
K2LiAg2Cl7: relaxed, GGA-PBE.

Computed properties:
Calculated volume   27.650 A^3/atom
ΔE_f (raw)   -1.047 eV/atom

Cell lengths 7.248, 7.247, 13.143 Å; angles 90.00, 105.98, 90.00 degrees
Space group C2/m (No. 12)
Asymmetric unit:
K1 0.178 0.000 0.355 [4 per cell]
Li1 0.000 0.000 0.000 [2 per cell]
Ag1 0.098 0.500 0.197 [4 per cell]
Cl1 0.000 0.500 0.000 [2 per cell]
Cl2 0.160 0.250 0.819 [8 per cell]
Cl3 0.198 0.500 0.398 [4 per cell]

***

Record 6
K2LiAgCl4: relaxed, GGA-PBE.

Computed properties:
Calculated volume   25.502 A^3/atom
ΔE_f (raw)   -1.488 eV/atom

Cell lengths 11.528, 11.938, 8.156 Å; angles 90.00, 133.36, 90.00 degrees
Space group C2/c (No. 15)
Asymmetric unit:
K1 0.000 0.000 0.000 [4 per cell]
K2 0.250 0.250 0.000 [4 per cell]
Li1 0.000 0.500 0.000 [4 per cell]
Ag1 0.250 0.250 0.500 [4 per cell]
Cl1 0.006 0.264 0.482 [8 per cell]
Cl2 0.216 0.495 0.474 [8 per cell]

***

Record 7
K2LiAgCl5: relaxed, GGA-PBE.

Computed properties:
Calculated volume   26.825 A^3/atom
ΔE_f (raw)   -1.353 eV/atom

Cell lengths 4.090, 17.385, 13.581 Å; angles 90.00, 90.00, 90.00 degrees
Space group Cmc2_1 (No. 36)
Asymmetric unit:
K1 0.000 0.103 0.000 [4 per cell]
K2 0.000 0.154 0.623 [4 per cell]
Li1 0.000 0.191 0.360 [4 per cell]
Ag1 0.000 0.474 0.760 [4 per cell]
Cl1 0.000 0.055 0.376 [4 per cell]
Cl2 0.000 0.276 0.959 [4 per cell]
Cl3 0.000 0.336 0.703 [4 per cell]
Cl4 0.000 0.386 0.308 [4 per cell]
Cl5 0.000 0.483 0.086 [4 per cell]

***

Record 8
KLi4Ag3Cl12: relaxed, GGA-PBE.

Computed properties:
Calculated volume   22.244 A^3/atom
ΔE_f (raw)   -1.054 eV/atom

Cell lengths 9.618, 9.618, 9.618 Å; angles 90.00, 90.00, 90.00 degrees
Space group Im-3 (No. 204)
Asymmetric unit:
K1 0.000 0.000 0.000 [2 per cell]
Li1 0.250 0.250 0.250 [8 per cell]
Ag1 0.000 0.000 0.500 [6 per cell]
Cl1 0.000 0.315 0.174 [24 per cell]

***

> What is the ΔE_f (raw) in the first record?

0.937 eV/atom

***

> Look up the calculated volume of the fifth one.

27.650 A^3/atom

***

> Which of these has the lowest ΔE_f (raw)?

KLaAgCl6

***

> Which of these has the highest ΔE_f (raw)?

KAg3Cl